Entry 1:
This record from Alexandria describes SiSbTe2O after structural relaxation. The functional is PBE.

Calculated values
Its space-group type is P4/mmm (123). The energy above the most stable polymorph in this dataset comes out at 0.00 eV per formula unit. For the total moment, the calculation gives 0.00 Bohr magnetons per cell.

Structure (POSCAR):
```
SiSbTe2O
1.0
-3.834 -0.735 2.831
-1.837 -3.027 -3.273
2.269 -3.670 2.121
Sb Si Te O
1 1 2 1
direct
0.000 0.000 0.500
0.500 0.500 0.500
0.000 0.500 0.000
0.500 0.000 0.000
0.000 0.000 0.000
```

---

Entry 2:
This record from Alexandria describes TlSiSbO6 after structural relaxation. The functional is PBE.

Calculated values
Its space-group type is P312 (149). For the total moment, the calculation gives 0.00 Bohr magnetons per cell. For the total energy, the calculation gives -6.220 eV per atom.

Structure (POSCAR):
```
TlSiSbO6
1.0
5.066 0.000 0.000
2.533 4.387 0.000
0.000 0.000 4.785
Tl Si Sb O
1 1 1 6
direct
0.000 0.000 0.000
0.333 0.333 0.500
0.667 0.667 0.500
0.027 0.358 0.284
0.358 0.027 0.716
0.615 0.358 0.716
0.027 0.615 0.716
0.358 0.615 0.284
0.615 0.027 0.284
```

---

Entry 3:
This record from Alexandria describes TmSi2SbO8 after structural relaxation. The functional is PBE.

Calculated values
Its space-group type is I-4m2 (119). For the total moment, the calculation gives 0.00 Bohr magnetons per cell. For the total energy, the calculation gives -7.371 eV per atom.

Structure (POSCAR):
```
TmSi2SbO8
1.0
5.632 0.039 0.000
-2.463 5.065 0.000
-1.584 -2.552 4.764
Tm Si Sb O
1 2 1 8
direct
0.250 0.750 0.500
0.750 0.250 0.500
0.500 0.500 0.000
0.000 0.000 0.000
0.386 0.074 0.312
0.310 0.486 0.176
0.310 0.134 0.824
0.763 0.074 0.688
0.866 0.690 0.176
0.926 0.237 0.312
0.926 0.614 0.688
0.514 0.690 0.824
```

---

Entry 4:
This record from Alexandria describes YSi2SbO8 after structural relaxation. The functional is PBE.

Calculated values
Its space-group type is I-4m2 (119). For the total moment, the calculation gives 0.00 Bohr magnetons per cell. For the total energy, the calculation gives -7.498 eV per atom.

Structure (POSCAR):
```
YSi2SbO8
1.0
5.675 0.018 0.000
-2.501 5.094 0.000
-1.587 -2.556 4.812
Y Si Sb O
1 2 1 8
direct
0.250 0.750 0.500
0.750 0.250 0.500
0.500 0.500 0.000
0.000 0.000 0.000
0.388 0.077 0.311
0.309 0.483 0.174
0.309 0.136 0.826
0.766 0.077 0.689
0.864 0.691 0.174
0.923 0.234 0.311
0.923 0.612 0.689
0.517 0.691 0.826
```

---

Entry 5:
This record from Alexandria describes ZnSiSbO6 after structural relaxation. The functional is PBE.

Calculated values
Its space-group type is P-31c (163). For the total moment, the calculation gives 2.07 Bohr magnetons per cell. For the total energy, the calculation gives -6.097 eV per atom.

Structure (POSCAR):
```
ZnSiSbO6
1.0
-1.533 -4.403 1.854
2.851 3.042 2.792
-7.257 3.871 3.194
Zn Si Sb O
2 2 2 12
direct
0.000 0.000 0.000
0.000 0.000 0.500
0.667 0.333 0.250
0.333 0.667 0.750
0.333 0.667 0.250
0.667 0.333 0.750
0.658 0.628 0.136
0.969 0.342 0.136
0.342 0.969 0.636
0.031 0.658 0.864
0.372 0.342 0.364
0.969 0.628 0.364
0.628 0.969 0.864
0.658 0.031 0.364
0.031 0.372 0.636
0.372 0.031 0.136
0.628 0.658 0.636
0.342 0.372 0.864
```

---

Entry 6:
This record from Alexandria describes ZrSiSbO2 after structural relaxation. The functional is PBE.

Calculated values
Its space-group type is P4/mmm (123). For the total moment, the calculation gives 0.00 Bohr magnetons per cell. For the total energy, the calculation gives -6.763 eV per atom.

Structure (POSCAR):
```
ZrSiSbO2
1.0
4.061 0.000 0.000
0.000 6.295 0.000
0.000 0.000 4.061
Sb Si O Zr
1 1 2 1
direct
0.000 0.500 0.000
0.500 0.500 0.500
0.000 0.000 0.500
0.500 0.000 0.000
0.000 0.000 0.000
```

---

Entry 7:
This record from Alexandria describes Sm4Sb2O after structural relaxation. The functional is PBE.

Calculated values
Its space-group type is P2_1/m (11). The energy above the most stable polymorph in this dataset comes out at 0.18 eV per formula unit. For the total moment, the calculation gives 0.00 Bohr magnetons per cell.

Structure (POSCAR):
```
Sm4Sb2O
1.0
6.686 0.000 -0.163
0.000 6.733 0.000
-2.653 0.000 8.646
Sm Sb O
8 4 2
direct
0.524 0.499 0.292
0.152 0.750 0.944
0.848 0.250 0.056
0.524 0.001 0.292
0.929 0.250 0.649
0.476 0.999 0.708
0.476 0.501 0.708
0.071 0.750 0.351
0.702 0.750 0.031
0.298 0.250 0.969
0.185 0.250 0.407
0.815 0.750 0.593
0.291 0.750 0.206
0.709 0.250 0.794
```

---

Entry 8:
This record from Alexandria describes Sm9Sb5O5 after structural relaxation. The functional is PBE.

Calculated values
Its space-group type is P4/n (85). For the total moment, the calculation gives 0.00 Bohr magnetons per cell. For the total energy, the calculation gives -6.781 eV per atom.

Structure (POSCAR):
```
Sm9Sb5O5
1.0
-7.936 -5.998 1.807
2.713 -5.921 -7.733
5.088 -5.033 5.639
Sm Sb O
18 10 10
direct
0.274 0.082 0.001
0.705 0.396 0.657
0.295 0.604 0.657
0.226 0.418 0.999
0.396 0.295 0.343
0.604 0.705 0.343
0.582 0.226 0.001
0.795 0.104 0.343
0.082 0.726 0.999
0.104 0.205 0.657
0.918 0.274 0.999
0.205 0.896 0.343
0.500 0.000 0.670
0.418 0.774 0.001
0.774 0.582 0.999
0.000 0.500 0.330
0.896 0.795 0.657
0.726 0.918 0.001
0.304 0.596 0.301
0.696 0.404 0.301
0.904 0.804 0.301
0.404 0.304 0.699
0.096 0.196 0.301
0.500 0.000 0.316
0.804 0.096 0.699
0.000 0.500 0.684
0.596 0.696 0.699
0.196 0.904 0.699
0.380 0.275 0.088
0.725 0.380 0.912
0.620 0.725 0.088
0.275 0.620 0.912
0.225 0.880 0.088
0.880 0.775 0.912
0.000 0.500 0.066
0.120 0.225 0.912
0.500 0.000 0.934
0.775 0.120 0.088
```

---

Entry 9:
This record from Alexandria describes Sm2SbO after structural relaxation. The functional is PBE.

Calculated values
Its space-group type is R-3m (166). The energy above the most stable polymorph in this dataset comes out at 1.26 eV per formula unit. For the total moment, the calculation gives 0.00 Bohr magnetons per cell.

Structure (POSCAR):
```
Sm2SbO
1.0
-1.965 0.886 -3.165
1.413 -0.903 -3.444
-3.639 -6.231 -4.114
Sm Sb O
2 1 1
direct
0.217 0.650 0.606
0.131 0.563 0.234
0.674 0.107 0.920
0.674 0.107 0.420
```

---

Entry 10:
This record from Alexandria describes Sm5Sb2O12 after structural relaxation. The functional is PBE.

Calculated values
Its space-group type is C2/m (12). For the total moment, the calculation gives 0.00 Bohr magnetons per cell. For the total energy, the calculation gives -7.573 eV per atom.

Structure (POSCAR):
```
Sm5Sb2O12
1.0
6.179 0.000 0.000
-3.089 6.390 0.002
0.000 -2.248 7.215
Sm Sb O
5 2 12
direct
0.299 0.597 0.636
0.304 0.607 0.169
0.000 0.000 0.500
0.696 0.393 0.831
0.701 0.403 0.364
0.755 0.000 0.000
0.245 0.000 0.000
0.000 0.000 0.185
0.102 0.668 0.915
0.566 0.668 0.915
0.096 0.693 0.426
0.597 0.693 0.426
0.501 0.002 0.815
0.499 0.998 0.185
0.904 0.307 0.574
0.403 0.307 0.574
0.898 0.332 0.085
0.434 0.332 0.085
0.000 0.000 0.815
```

---

Entry 11:
This record from Alexandria describes Sm4Sb6O19 after structural relaxation. The functional is PBE.

Calculated values
Its space-group type is C2 (5). For the total moment, the calculation gives 0.00 Bohr magnetons per cell. For the total energy, the calculation gives -6.769 eV per atom.

Structure (POSCAR):
```
Sm4Sb6O19
1.0
7.792 -0.088 -2.709
-3.969 6.710 -2.699
0.038 0.077 8.233
Sm Sb O
4 6 19
direct
0.001 0.981 0.708
0.001 0.709 0.982
0.273 0.293 0.292
0.727 0.019 0.018
0.337 0.499 0.837
0.662 0.500 0.163
0.158 0.658 0.500
0.842 0.342 0.500
0.500 0.836 0.335
0.500 0.165 0.665
0.639 0.000 0.640
0.360 0.999 0.360
0.358 0.358 0.000
0.641 0.641 0.000
0.001 0.718 0.718
0.000 0.283 0.282
0.000 0.000 0.000
0.360 0.316 0.615
0.639 0.255 0.956
0.701 0.746 0.385
0.946 0.645 0.241
0.299 0.683 0.044
0.597 0.356 0.303
0.054 0.294 0.697
0.404 0.704 0.758
0.678 0.033 0.293
0.261 0.967 0.646
0.321 0.615 0.354
0.740 0.385 0.707
```

---

Entry 12:
This record from Alexandria describes Sm4Sb2O after structural relaxation. The functional is PBE.

Calculated values
Its space-group type is I4/mmm (139). The energy above the most stable polymorph in this dataset comes out at 0.00 eV per formula unit. For the total moment, the calculation gives 0.00 Bohr magnetons per cell.

Structure (POSCAR):
```
Sm4Sb2O
1.0
-1.254 -4.370 0.948
1.530 -1.345 -4.173
7.852 -4.352 1.698
Sb O Sm
2 1 4
direct
0.639 0.639 0.722
0.361 0.361 0.278
0.000 0.000 0.000
0.825 0.825 0.350
0.175 0.175 0.650
0.000 0.500 0.000
0.500 0.000 0.000
```

---

Entry 13:
This record from Alexandria describes Sm2SbO after structural relaxation. The functional is PBE.

Calculated values
Its space-group type is P4/nmm (129). The energy above the most stable polymorph in this dataset comes out at 0.00 eV per formula unit. For the total moment, the calculation gives 0.00 Bohr magnetons per cell.

Structure (POSCAR):
```
Sm2SbO
1.0
-1.376 -0.163 4.361
2.728 -3.602 0.726
6.681 5.529 2.314
Sm Sb O
4 2 2
direct
0.750 0.750 0.844
0.750 0.250 0.500
0.250 0.250 0.156
0.250 0.750 0.500
0.250 0.250 0.798
0.750 0.750 0.202
0.250 0.250 0.422
0.750 0.750 0.578
```

---

Entry 14:
This record from Alexandria describes Sm12Sb3O5 after structural relaxation. The functional is PBE.

Calculated values
Its space-group type is Ia-3d (230). For the total moment, the calculation gives 0.00 Bohr magnetons per cell. For the total energy, the calculation gives -6.375 eV per atom.

Structure (POSCAR):
```
Sm12Sb3O5
1.0
-2.415 0.695 13.568
-7.403 -10.281 -5.469
13.425 -2.340 -2.168
Sb O Sm
12 20 48
direct
0.750 0.375 0.125
0.875 0.750 0.125
0.375 0.750 0.625
0.250 0.125 0.375
0.875 0.125 0.250
0.375 0.625 0.250
0.625 0.375 0.750
0.125 0.875 0.750
0.750 0.875 0.625
0.625 0.250 0.375
0.125 0.250 0.875
0.250 0.625 0.875
0.125 0.375 0.250
0.000 0.500 0.000
0.000 0.000 0.000
0.375 0.250 0.125
0.500 0.000 0.500
0.500 0.500 0.000
0.125 0.750 0.375
0.750 0.125 0.875
0.750 0.625 0.375
0.375 0.125 0.750
0.625 0.875 0.250
0.500 0.500 0.500
0.500 0.000 0.000
0.000 0.000 0.500
0.250 0.375 0.625
0.250 0.875 0.125
0.000 0.500 0.500
0.875 0.250 0.625
0.625 0.750 0.875
0.875 0.625 0.750
0.697 0.108 0.009
0.313 0.509 0.401
0.991 0.392 0.303
0.509 0.197 0.108
0.589 0.697 0.687
0.991 0.599 0.187
0.313 0.803 0.411
0.099 0.911 0.108
0.599 0.991 0.687
0.697 0.589 0.187
0.803 0.491 0.392
0.813 0.901 0.009
0.108 0.697 0.509
0.392 0.401 0.089
0.089 0.901 0.392
0.411 0.108 0.599
0.089 0.187 0.197
0.491 0.687 0.099
0.813 0.911 0.303
0.108 0.411 0.099
0.392 0.991 0.803
0.599 0.608 0.411
0.901 0.813 0.509
0.803 0.313 0.911
0.401 0.392 0.589
0.099 0.187 0.491
0.197 0.687 0.089
0.187 0.089 0.697
0.608 0.009 0.197
0.892 0.589 0.901
0.509 0.313 0.901
0.589 0.892 0.401
0.911 0.813 0.803
0.911 0.099 0.608
0.892 0.303 0.491
0.187 0.099 0.991
0.608 0.599 0.911
0.401 0.009 0.313
0.303 0.411 0.813
0.197 0.509 0.608
0.901 0.089 0.892
0.687 0.197 0.589
0.491 0.803 0.892
0.009 0.401 0.813
0.411 0.303 0.313
0.009 0.608 0.697
0.687 0.491 0.599
0.303 0.892 0.991
```

---

Entry 15:
This record from Alexandria describes Sr2SmSbO6 after structural relaxation. The functional is PBE.

Calculated values
Its space-group type is P2_1/c (14). For the total moment, the calculation gives 0.00 Bohr magnetons per cell. For the total energy, the calculation gives -6.837 eV per atom.

Structure (POSCAR):
```
Sr2SmSbO6
1.0
6.009 0.000 0.000
0.000 5.905 -0.001
0.000 5.858 8.408
Sr Sm Sb O
4 2 2 12
direct
0.039 0.239 0.750
0.539 0.761 0.750
0.961 0.761 0.250
0.461 0.239 0.250
0.000 0.500 0.000
0.500 0.500 0.500
0.500 0.000 0.000
0.000 0.000 0.500
0.471 0.318 0.768
0.971 0.682 0.732
0.529 0.682 0.232
0.029 0.318 0.268
0.273 0.141 0.549
0.773 0.859 0.951
0.727 0.859 0.451
0.227 0.141 0.049
0.306 0.771 0.957
0.806 0.229 0.543
0.694 0.229 0.043
0.194 0.771 0.457
```

---

Entry 16:
This record from Alexandria describes SrSmSb2O8 after structural relaxation. The functional is PBE.

Calculated values
Its space-group type is I-4 (82). For the total moment, the calculation gives 1.11 Bohr magnetons per cell. For the total energy, the calculation gives -6.504 eV per atom.

Structure (POSCAR):
```
SrSmSb2O8
1.0
-2.432 4.509 1.868
-4.667 -1.540 -2.362
2.040 -4.294 5.063
Sr Sm Sb O
1 1 2 8
direct
0.750 0.250 0.500
0.000 0.000 0.000
0.500 0.500 0.000
0.250 0.750 0.500
0.770 0.825 0.170
0.400 0.345 0.170
0.586 0.677 0.683
0.097 0.007 0.683
0.993 0.414 0.317
0.323 0.903 0.317
0.175 0.600 0.830
0.655 0.230 0.830
```